No. 1
The following is a DFT calculation (SCAN) of a crystal of BiAsOs2F relaxed with PBEsol.

```
data_BiAsOs2F
_chemical_formula_sum 'Bi1 As1 Os2 F1'
_cell_length_a 4.468
_cell_length_b 4.468
_cell_length_c 5.652
_cell_angle_alpha 90.00
_cell_angle_beta 90.00
_cell_angle_gamma 90.00
_space_group_name_H-M_alt 'P 4/m m m'
_space_group_IT_number 123
_space_group_name_Hall '-P 4 2'
loop_
_atom_site_label
_atom_site_fract_x
_atom_site_fract_y
_atom_site_fract_z
Bi1 0.000 0.000 0.000
As1 0.000 0.000 0.500
Os1 0.000 0.500 0.500
F1 0.500 0.500 0.000
```

Output
E_form (uncorrected)   1.2592 eV/atom

---

No. 2
The following is a DFT calculation (SCAN) of a crystal of Si2AsOsS relaxed with PBEsol.

```
data_Si2AsOsS
_chemical_formula_sum 'Si2 As1 Os1 S1'
_cell_length_a 4.595
_cell_length_b 4.595
_cell_length_c 4.669
_cell_angle_alpha 90.00
_cell_angle_beta 90.00
_cell_angle_gamma 90.00
_space_group_name_H-M_alt 'P 4/m m m'
_space_group_IT_number 123
_space_group_name_Hall '-P 4 2'
loop_
_atom_site_label
_atom_site_fract_x
_atom_site_fract_y
_atom_site_fract_z
Si1 0.000 0.500 0.000
As1 0.000 0.000 0.500
Os1 0.000 0.000 0.000
S1 0.500 0.500 0.500
```

Output
E_form (uncorrected)   0.4452 eV/atom

---

No. 3
The following is a DFT calculation (SCAN) of a crystal of Li2ZrTe relaxed with PBEsol.

```
data_Li2ZrTe
_chemical_formula_sum 'Li4 Zr2 Te2'
_cell_length_a 5.665
_cell_length_b 9.967
_cell_length_c 3.033
_cell_angle_alpha 90.00
_cell_angle_beta 90.00
_cell_angle_gamma 90.00
_space_group_name_H-M_alt 'C m m m'
_space_group_IT_number 65
_space_group_name_Hall '-C 2 2'
loop_
_atom_site_label
_atom_site_fract_x
_atom_site_fract_y
_atom_site_fract_z
Li1 0.250 0.250 0.000
Zr1 0.000 0.000 0.500
Te1 0.000 0.500 0.500
```

Output
E_form (uncorrected)   -0.1069 eV/atom

---

No. 4
The following is a DFT calculation (SCAN) of a crystal of ReTcPb2 relaxed with PBEsol.

```
data_ReTcPb2
_chemical_formula_sum 'Re1 Tc1 Pb2'
_cell_length_a 3.101
_cell_length_b 4.448
_cell_length_c 5.551
_cell_angle_alpha 90.00
_cell_angle_beta 92.64
_cell_angle_gamma 90.00
_space_group_name_H-M_alt 'P 1 2/m 1'
_space_group_IT_number 10
loop_
_space_group_symop_operation_xyz
'x,y,z'
'-x,-y,-z'
'-x,y,-z'
'x,-y,z'
loop_
_atom_site_label
_atom_site_fract_x
_atom_site_fract_y
_atom_site_fract_z
Re1 0.000 0.000 0.000
Tc1 0.500 0.000 0.500
Pb1 0.248 0.500 0.748
```

Output
Calculated formation energy   1.199 eV per atom
Energy above the lowest structure with this stoichiometry   0.000 eV per formula unit

---

No. 5
The following is a DFT calculation (SCAN) of a crystal of TlSnTeI2 relaxed with PBEsol.

```
data_TlSnTeI2
_chemical_formula_sum 'Tl1 Sn1 Te1 I2'
_cell_length_a 5.808
_cell_length_b 5.808
_cell_length_c 5.779
_cell_angle_alpha 90.00
_cell_angle_beta 90.00
_cell_angle_gamma 90.00
_space_group_name_H-M_alt 'P 4/m m m'
_space_group_IT_number 123
_space_group_name_Hall '-P 4 2'
loop_
_atom_site_label
_atom_site_fract_x
_atom_site_fract_y
_atom_site_fract_z
Tl1 0.000 0.000 0.000
Sn1 0.500 0.500 0.500
Te1 0.000 0.000 0.500
I1 0.000 0.500 0.000
```

Output
E_form (uncorrected)   0.2723 eV/atom
Energy above the lowest structure with this stoichiometry   2.268 eV per formula unit

---

No. 6
The following is a DFT calculation (SCAN) of a crystal of Rb3PdSe relaxed with PBEsol.

```
data_Rb3PdSe
_chemical_formula_sum 'Rb3 Pd1 Se1'
_cell_length_a 5.771
_cell_length_b 5.771
_cell_length_c 5.771
_cell_angle_alpha 90.00
_cell_angle_beta 90.00
_cell_angle_gamma 90.00
_space_group_name_H-M_alt 'P m -3 m'
_space_group_IT_number 221
_space_group_name_Hall '-P 4 2 3'
loop_
_atom_site_label
_atom_site_fract_x
_atom_site_fract_y
_atom_site_fract_z
Rb1 0.000 0.000 0.500
Pd1 0.000 0.000 0.000
Se1 0.500 0.500 0.500
```

Output
E_form (uncorrected)   -0.2056 eV/atom

---

No. 7
The following is a DFT calculation (SCAN) of a crystal of YTlTe2I relaxed with PBEsol.

```
data_YTlTe2I
_chemical_formula_sum 'Y1 Tl1 Te2 I1'
_cell_length_a 5.638
_cell_length_b 5.638
_cell_length_c 5.692
_cell_angle_alpha 90.00
_cell_angle_beta 90.00
_cell_angle_gamma 90.00
_space_group_name_H-M_alt 'P 4/m m m'
_space_group_IT_number 123
_space_group_name_Hall '-P 4 2'
loop_
_atom_site_label
_atom_site_fract_x
_atom_site_fract_y
_atom_site_fract_z
Y1 0.000 0.000 0.000
Tl1 0.500 0.500 0.500
Te1 0.000 0.500 0.500
I1 0.500 0.500 0.000
```

Output
E_form (uncorrected)   0.0191 eV/atom

---

No. 8
The following is a DFT calculation (SCAN) of a crystal of RbAgSe2 relaxed with PBEsol.

```
data_RbAgSe2
_chemical_formula_sum 'Rb3 Ag3 Se6'
_cell_length_a 3.4807
_cell_length_b 3.4807
_cell_length_c 30.1208
_cell_angle_alpha 90.00
_cell_angle_beta 90.00
_cell_angle_gamma 120.00
_space_group_name_H-M_alt 'R -3 m'
_space_group_IT_number 166
_space_group_name_Hall '-R 3 2"'
loop_
_atom_site_label
_atom_site_fract_x
_atom_site_fract_y
_atom_site_fract_z
Rb1 0.0000 0.0000 0.0000
Ag1 0.0000 0.0000 0.5000
Se1 0.0000 0.0000 0.4199
```

Output
E_form (uncorrected)   -0.0426 eV/atom

---

Number 1: density of states at the Fermi level 3.14 states/eV/f.u.. Number 2: density of states at the Fermi level 1.84 states/eV/f.u.. Number 3: density of states at the Fermi level 2.25 states/eV/f.u.. Number 4: density of states at the Fermi level 3.06 states/eV/f.u.. Number 5: density of states at the Fermi level 1.58 states/eV/f.u.. Number 6: density of states at the Fermi level 1.84 states/eV/f.u.. Number 7: density of states at the Fermi level 1.36 states/eV/f.u.. Number 8: density of states at the Fermi level 2.34 states/eV/f.u..